[1]
{"formula": "Th4MnPt15", "functional": "GGA-PBE", "state": "relaxed", "lattice": [[4.202, 0.000, 0.000], [0.000, 4.202, 0.000], [0.000, 0.000, 20.720]], "species": ["Th", "Th", "Th", "Th", "Mn", "Pt", "Pt", "Pt", "Pt", "Pt", "Pt", "Pt", "Pt", "Pt", "Pt", "Pt", "Pt", "Pt", "Pt", "Pt"], "frac_coords": [[0.000, 0.000, 0.104], [0.000, 0.000, 0.312], [0.000, 0.000, 0.688], [0.000, 0.000, 0.896], [0.000, 0.000, 0.500], [0.000, 0.500, 0.000], [0.000, 0.500, 0.205], [0.000, 0.500, 0.411], [0.000, 0.500, 0.589], [0.000, 0.500, 0.795], [0.500, 0.000, 0.000], [0.500, 0.000, 0.205], [0.500, 0.000, 0.411], [0.500, 0.000, 0.589], [0.500, 0.000, 0.795], [0.500, 0.500, 0.102], [0.500, 0.500, 0.307], [0.500, 0.500, 0.500], [0.500, 0.500, 0.693], [0.500, 0.500, 0.898]], "energy_ev_per_atom": -7.417}

[2]
{"formula": "LiFe2Se", "functional": "GGA-PBE", "state": "relaxed", "lattice": [[1.430, 0.826, 8.268], [-1.430, 0.826, 8.268], [0.000, -1.651, 8.268]], "species": ["Li", "Fe", "Fe", "Se"], "frac_coords": [[0.000, 0.000, 0.000], [0.243, 0.243, 0.243], [0.757, 0.757, 0.757], [0.500, 0.500, 0.500]], "energy_ev_per_atom": -5.202, "raw_formation_energy_ev_per_atom": 0.379}

[3]
{"formula": "RbCu3S3", "functional": "GGA-PBE", "state": "relaxed", "lattice": [[6.526, 0.000, 0.000], [0.000, 6.526, 0.000], [0.000, 0.000, 6.526]], "species": ["Rb", "Rb", "Cu", "Cu", "Cu", "Cu", "Cu", "Cu", "S", "S", "S", "S", "S", "S"], "frac_coords": [[0.000, 0.000, 0.000], [0.500, 0.500, 0.500], [0.000, 0.250, 0.500], [0.000, 0.750, 0.500], [0.250, 0.500, 0.000], [0.500, 0.000, 0.250], [0.500, 0.000, 0.750], [0.750, 0.500, 0.000], [0.000, 0.500, 0.250], [0.000, 0.500, 0.750], [0.250, 0.000, 0.500], [0.500, 0.250, 0.000], [0.500, 0.750, 0.000], [0.750, 0.000, 0.500]], "energy_ev_per_atom": -4.138, "raw_formation_energy_ev_per_atom": -0.475}

[4]
{"formula": "AlPd2W", "functional": "GGA-PBE", "state": "relaxed", "lattice": [[-1.920, 1.920, 8.954], [1.920, -1.920, 8.954], [1.920, 1.920, -8.954]], "species": ["Al", "Al", "Pd", "Pd", "Pd", "Pd", "W", "W"], "frac_coords": [[0.000, 0.000, 0.000], [0.750, 0.250, 0.500], [0.120, 0.625, 0.995], [0.375, 0.370, 0.495], [0.630, 0.125, 0.005], [0.875, 0.880, 0.505], [0.250, 0.750, 0.500], [0.500, 0.500, 0.000]], "energy_ev_per_atom": -6.553}

[5]
{"formula": "YTlHgPb", "functional": "GGA-PBE", "state": "relaxed", "lattice": [[4.629, 0.000, 0.000], [0.000, 4.719, 0.000], [0.000, 0.000, 4.873]], "species": ["Y", "Tl", "Hg", "Pb"], "frac_coords": [[0.000, 0.000, 0.000], [0.500, 0.000, 0.500], [0.000, 0.500, 0.500], [0.500, 0.500, 0.000]], "energy_ev_per_atom": -3.524, "relative_energy_ev_per_atom": 0.000}

[6]
{"formula": "Rb2LiSe2", "functional": "GGA-PBE", "state": "relaxed", "lattice": [[-2.545, 2.545, 7.274], [2.545, -2.545, 7.274], [2.545, 2.545, -7.274]], "species": ["Rb", "Rb", "Li", "Se", "Se"], "frac_coords": [[0.250, 0.750, 0.500], [0.750, 0.250, 0.500], [0.000, 0.000, 0.000], [0.400, 0.400, 0.000], [0.600, 0.600, 0.000]], "energy_ev_per_atom": -2.580, "relative_energy_ev_per_atom": 0.360, "raw_formation_energy_ev_per_atom": -0.416}

[7]
{"formula": "Pu6Sb3N", "functional": "GGA-PBE", "state": "relaxed", "lattice": [[5.755, -3.209, 0.000], [5.755, 3.209, 0.000], [-3.742, 0.000, 7.320]], "species": ["Pu", "Pu", "Pu", "Pu", "Pu", "Pu", "Sb", "Sb", "Sb", "N"], "frac_coords": [[0.167, 0.668, 0.635], [0.300, 0.300, 0.170], [0.332, 0.833, 0.365], [0.668, 0.167, 0.635], [0.700, 0.700, 0.830], [0.833, 0.332, 0.365], [0.000, 0.000, 0.000], [0.205, 0.205, 0.738], [0.795, 0.795, 0.262], [0.500, 0.500, 0.500]], "energy_ev_per_atom": -11.198, "raw_formation_energy_ev_per_atom": -0.530}

[8]
{"formula": "CsInOs2Pb", "functional": "GGA-PBE", "state": "relaxed", "lattice": [[5.170, 0.000, 0.000], [0.000, 5.170, 0.000], [0.000, 0.000, 5.762]], "species": ["Cs", "In", "Os", "Os", "Pb"], "frac_coords": [[0.000, 0.000, 0.000], [0.500, 0.500, 0.500], [0.000, 0.500, 0.500], [0.500, 0.000, 0.500], [0.500, 0.500, 0.000]], "energy_ev_per_atom": -4.035}

[9]
{"formula": "Ca3HAu", "functional": "GGA-PBE", "state": "relaxed", "lattice": [[4.864, 0.000, 0.000], [0.000, 4.864, 0.000], [0.000, 0.000, 4.864]], "species": ["Ca", "Ca", "Ca", "H", "Au"], "frac_coords": [[0.000, 0.000, 0.500], [0.000, 0.500, 0.000], [0.500, 0.000, 0.000], [0.000, 0.000, 0.000], [0.500, 0.500, 0.500]], "energy_ev_per_atom": -2.929, "relative_energy_ev_per_atom": 0.096}

[10]
{"formula": "HoEr2Cu3", "functional": "GGA-PBE", "state": "relaxed", "lattice": [[3.433, 0.000, 0.000], [0.000, 3.433, 0.000], [0.000, 0.000, 10.354]], "species": ["Ho", "Er", "Er", "Cu", "Cu", "Cu"], "frac_coords": [[0.000, 0.000, 0.000], [0.000, 0.000, 0.334], [0.000, 0.000, 0.666], [0.500, 0.500, 0.168], [0.500, 0.500, 0.500], [0.500, 0.500, 0.832]], "energy_ev_per_atom": -4.609}

[11]
{"formula": "ZrAlHg2", "functional": "GGA-PBE", "state": "relaxed", "lattice": [[2.314, -2.427, 0.000], [2.314, 2.427, 0.000], [0.000, 0.000, 7.319]], "species": ["Zr", "Al", "Hg", "Hg"], "frac_coords": [[0.000, 0.000, 0.000], [0.000, 0.000, 0.500], [0.500, 0.500, 0.270], [0.500, 0.500, 0.730]], "energy_ev_per_atom": -3.244}

[12]
{"formula": "Pr2NdTh", "functional": "GGA-PBE", "state": "relaxed", "lattice": [[3.647, 0.000, 0.000], [0.000, 3.647, 0.000], [0.000, 0.000, 10.521]], "species": ["Pr", "Pr", "Nd", "Th"], "frac_coords": [[0.000, 0.000, 0.237], [0.000, 0.000, 0.763], [0.500, 0.500, 0.500], [0.500, 0.500, 0.000]], "energy_ev_per_atom": -5.395, "relative_energy_ev_per_atom": 0.012}

Q: Which formula does entry 5 have?
A: YTlHgPb